1.
Below is InHgAs2 after structural relaxation, with properties calculated at the GGA-PBE level.

Properties
Formation enthalpy at 0 K   1.1 eV per formula unit
Volume   23.110 A^3/atom

Geometry as extended XYZ:
```
8
Lattice="3.8641 0.0000 0.0000 0.0000 4.3479 0.0000 0.0000 0.0000 11.0044" Properties=species:S:1:pos:R:3 pbc="T T T"
In 0.0000 0.0000 0.0000
In 1.9320 2.1739 5.5022
Hg 0.0000 0.0000 5.5022
Hg 1.9320 2.1739 0.0000
As 0.0000 2.1739 3.0170
As 0.0000 2.1739 7.9874
As 1.9320 0.0000 2.4852
As 1.9320 0.0000 8.5192
```



2.
Below is InHgAs after structural relaxation, with properties calculated at the GGA-PBE level.

Properties
Formation enthalpy at 0 K   0.5 eV per formula unit
Volume   25.417 A^3/atom

Geometry as extended XYZ:
```
6
Lattice="2.9914 0.0000 0.0000 0.0000 2.9914 0.0000 0.0000 0.0000 17.0424" Properties=species:S:1:pos:R:3 pbc="T T T"
In 0.0000 0.0000 0.0000
In 1.4957 1.4957 8.5212
Hg 0.0000 0.0000 11.6843
Hg 1.4957 1.4957 3.1630
As 0.0000 0.0000 6.1003
As 1.4957 1.4957 14.6215
```



3.
Below is In2HgAs after structural relaxation, with properties calculated at the GGA-PBE level.

Properties
Formation enthalpy at 0 K   0.2 eV per formula unit
Volume   24.941 A^3/atom

Geometry as extended XYZ:
```
4
Lattice="2.9757 0.0000 0.0000 0.0000 5.8034 0.0000 -0.0311 0.0000 5.7770" Properties=species:S:1:pos:R:3 pbc="T T T"
In 0.0000 0.0000 0.0000
In -0.0155 2.9017 2.8885
Hg 1.4723 0.0000 2.8885
As 0.0000 2.9017 0.0000
```



4.
Below is InHgAs2 after structural relaxation, with properties calculated at the GGA-PBE level.

Properties
Formation enthalpy at 0 K   0.9 eV per formula unit
Volume   25.323 A^3/atom

Geometry as extended XYZ:
```
4
Lattice="2.9733 0.0000 0.0000 0.0000 5.2001 0.0000 0.0000 0.0000 6.5513" Properties=species:S:1:pos:R:3 pbc="T T T"
In 0.0000 0.0000 0.0000
Hg 0.0000 0.0000 3.2757
As 1.4866 2.6000 1.2291
As 1.4866 2.6000 5.3222
```



5.
Below is InHg2As after structural relaxation, with properties calculated at the GGA-PBE level.

Properties
Formation enthalpy at 0 K   0.7 eV per formula unit
Volume   24.424 A^3/atom

Geometry as extended XYZ:
```
4
Lattice="3.3474 0.0000 0.0000 0.0000 5.3872 0.0000 0.0000 0.0000 5.4177" Properties=species:S:1:pos:R:3 pbc="T T T"
In 0.0000 0.0000 0.0000
Hg 0.0000 2.6936 2.7088
Hg 1.6737 2.6936 0.0000
As 1.6737 0.0000 2.7088
```



6.
Below is InHgAs after structural relaxation, with properties calculated at the GGA-PBE level.

Properties
Formation enthalpy at 0 K   0.0 eV per formula unit
Volume   34.252 A^3/atom

Geometry as extended XYZ:
```
6
Lattice="4.3793 0.0000 0.0000 -2.1897 3.7926 0.0000 0.0000 0.0000 12.3734" Properties=species:S:1:pos:R:3 pbc="T T T"
In 0.0000 2.5284 5.1170
In 2.1897 1.2642 7.2564
Hg 0.0000 0.0000 1.6299
Hg 0.0000 0.0000 10.7435
As 0.0000 2.5284 8.1610
As 2.1897 1.2642 4.2124
```



7.
Below is InHgAs2 after structural relaxation, with properties calculated at the GGA-PBE level.

Properties
Formation enthalpy at 0 K   0.9 eV per formula unit
Volume   24.489 A^3/atom

Geometry as extended XYZ:
```
8
Lattice="3.5446 0.0000 0.0000 0.0000 5.5579 0.0000 0.0000 0.0000 9.9445" Properties=species:S:1:pos:R:3 pbc="T T T"
In 0.0000 0.0000 0.0000
In 1.7723 2.7790 0.0000
Hg 0.0000 2.7790 2.7425
Hg 1.7723 0.0000 2.7425
As 0.0000 0.0000 5.4482
As 0.0000 2.7790 7.2368
As 1.7723 0.0000 7.2368
As 1.7723 2.7790 5.4482
```



8.
Below is InHgAs2 after structural relaxation, with properties calculated at the GGA-PBE level.

Properties
Formation enthalpy at 0 K   1.2 eV per formula unit
Volume   22.526 A^3/atom

Geometry as extended XYZ:
```
8
Lattice="6.2861 0.0000 0.0000 0.0000 9.3847 0.0000 -0.8935 0.0000 3.0547" Properties=species:S:1:pos:R:3 pbc="T T T"
In 0.0000 0.0000 0.0000
In 3.1431 4.6923 0.0000
Hg 0.0000 4.6923 0.0000
Hg 3.1431 0.0000 0.0000
As 1.1248 2.3462 1.5274
As 1.1248 7.0385 1.5274
As 4.2678 2.3462 1.5274
As 4.2678 7.0385 1.5274
```



9.
Below is InHg2As after structural relaxation, with properties calculated at the GGA-PBE level.

Properties
Formation enthalpy at 0 K   0.7 eV per formula unit
Volume   25.084 A^3/atom

Geometry as extended XYZ:
```
4
Lattice="3.3861 0.0000 0.0000 0.0000 3.3861 0.0000 0.0000 0.0000 8.7512" Properties=species:S:1:pos:R:3 pbc="T T T"
In 0.0000 0.0000 0.0000
Hg 0.0000 0.0000 4.1057
Hg 1.6930 1.6930 6.3950
As 1.6930 1.6930 1.8777
```



10.
Below is In2HgAs after structural relaxation, with properties calculated at the GGA-PBE level.

Properties
Formation enthalpy at 0 K   -0.2 eV per formula unit
Volume   26.724 A^3/atom

Geometry as extended XYZ:
```
8
Lattice="7.1649 0.0000 0.0000 0.0000 4.2035 0.0000 -2.3943 0.0000 7.0985" Properties=species:S:1:pos:R:3 pbc="T T T"
In 1.1825 0.0000 1.5429
In 0.0057 2.1018 5.5556
In 4.7649 2.1018 1.5429
In 3.5882 0.0000 5.5556
Hg -1.1971 0.0000 3.5493
Hg 2.3853 2.1018 3.5493
As 0.0000 2.1018 0.0000
As 3.5825 0.0000 0.0000
```



11.
Below is In2HgAs after structural relaxation, with properties calculated at the GGA-PBE level.

Properties
Formation enthalpy at 0 K   0.5 eV per formula unit
Volume   25.416 A^3/atom

Geometry as extended XYZ:
```
12
Lattice="3.2310 0.0000 0.0000 -1.6155 2.7981 0.0000 0.0000 0.0000 33.7355" Properties=species:S:1:pos:R:3 pbc="T T T"
In 0.0000 0.0000 8.1785
In 0.0000 0.0000 25.5569
In 0.0000 1.8654 14.3118
In 0.0000 1.8654 30.6688
In 1.6155 0.9327 3.0666
In 1.6155 0.9327 19.4237
Hg 0.0000 0.0000 0.0000
Hg 0.0000 1.8654 22.4903
Hg 1.6155 0.9327 11.2451
As 0.0000 0.0000 16.8677
As 0.0000 1.8654 5.6226
As 1.6155 0.9327 28.1129
```



12.
Below is In2HgAs after structural relaxation, with properties calculated at the GGA-PBE level.

Properties
Formation enthalpy at 0 K   0.6 eV per formula unit
Volume   24.955 A^3/atom

Geometry as extended XYZ:
```
8
Lattice="4.7614 0.0000 0.0000 0.0000 4.7614 0.0000 0.0000 0.0000 8.8059" Properties=species:S:1:pos:R:3 pbc="T T T"
In 0.0000 0.0000 0.0000
In 0.0000 2.3807 2.2015
In 2.3807 0.0000 6.6044
In 2.3807 2.3807 4.4029
Hg 0.0000 0.0000 4.4029
Hg 2.3807 2.3807 0.0000
As 0.0000 2.3807 6.6044
As 2.3807 0.0000 2.2015
```



- formation enthalpy at 0 K of number 3 (In2HgAs)?
  0.2 eV per formula unit



Please write out number 9 again, unchanged.
Below is InHg2As after structural relaxation, with properties calculated at the GGA-PBE level.

Properties
Formation enthalpy at 0 K   0.7 eV per formula unit
Volume   25.084 A^3/atom

Geometry as extended XYZ:
```
4
Lattice="3.3861 0.0000 0.0000 0.0000 3.3861 0.0000 0.0000 0.0000 8.7512" Properties=species:S:1:pos:R:3 pbc="T T T"
In 0.0000 0.0000 0.0000
Hg 0.0000 0.0000 4.1057
Hg 1.6930 1.6930 6.3950
As 1.6930 1.6930 1.8777
```



- Number 12 is which compound?
  In2HgAs



- Which value of volume does entry 4 give?
  25.323 A^3/atom